VASP calculation (PBE+U) on a geometry-optimized HoVClO4 structure.

E_tot (eV per atom): -7.0492
DOS at the Fermi energy (states/eV/f.u.): 0.000

abc: 11.276 6.658 6.802
angles: 90.00 102.87 90.00
Space group C2/m (No. 12)
Symmetry-distinct sites (fractional):
1 Ho 0.210 0.000 0.356 [4 per cell]
2 V 0.144 0.000 0.780 [4 per cell]
3 Cl 0.025 0.500 0.369 [4 per cell]
4 O 0.013 0.000 0.260 [4 per cell]
5 O 0.195 0.199 0.646 [8 per cell]
6 O 0.212 0.000 0.030 [4 per cell]